(1)
The following is a DFT calculation (GGA-PBE) of a geometry-optimized BeTe2Pt structure.

calculated volume	103.1	Å³ per cell
total energy	-3.652	eV per atom
spin magnetization	0.00	μB per formula unit
SG	No. 65

abc: 4.241 4.241 7.435
angles: 90.00 90.00 129.55
Positions (direct):
Be (0.500, 0.500, 0.250)
Te (0.000, 0.000, 0.013)
Te (0.000, 0.000, 0.487)
Pt (0.500, 0.500, 0.750)

(2)
The following is a DFT calculation (GGA-PBE) of a geometry-optimized NaHfNO structure.

calculated volume	52.4	Å³ per cell
total energy	-8.102	eV per atom
spin magnetization	0.00	μB per formula unit
SG	No. 160

abc: 3.225 3.225 6.108
angles: 90.05 105.31 120.00
Positions (direct):
Na (0.962, 0.380, 0.356)
Hf (0.314, 0.555, 0.885)
N (0.097, 0.946, 0.058)
O (0.505, 0.150, 0.670)

(3)
The following is a DFT calculation (GGA-PBE) of a geometry-optimized Sc6Tl2Hg structure.

calculated volume	241.6	Å³ per cell
total energy	-4.801	eV per atom
spin magnetization	0.00	μB per formula unit
SG	No. 71

abc: 4.852 6.847 8.396
angles: 114.06 106.79 90.00
Positions (direct):
Sc (0.164, 0.410, 0.328)
Sc (0.836, 0.082, 0.672)
Sc (0.836, 0.590, 0.672)
Sc (0.500, 0.241, 0.000)
Sc (0.164, 0.918, 0.328)
Sc (0.500, 0.759, 0.000)
Tl (0.666, 0.666, 0.333)
Tl (0.334, 0.334, 0.667)
Hg (0.000, 0.000, 0.000)

(4)
The following is a DFT calculation (GGA-PBE) of a geometry-optimized K2CrRhAu structure.

calculated volume	175.5	Å³ per cell
total energy	-3.836	eV per atom
spin magnetization	3.99	μB per formula unit
SG	No. 123

abc: 6.202 4.563 6.202
angles: 90.00 90.00 90.00
Last column: magnetic moment on the atom in μB.
Positions (direct):
Rh (0.000, 0.000, 0.000)  -0.24
K (0.000, 0.000, 0.500)  0.01
K (0.500, 0.000, 0.000)  0.01
Au (0.500, 0.500, 0.500)  0.02
Cr (0.000, 0.500, 0.000)  3.51

(5)
The following is a DFT calculation (GGA-PBE) of a geometry-optimized CsBe2Ga2O6 structure.

calculated volume	138.5	Å³ per cell
total energy	-5.881	eV per atom
spin magnetization	1.03	μB per formula unit
SG	No. 71

abc: 5.766 5.278 5.766
angles: 117.21 98.88 62.79
Last column: magnetic moment on the atom in μB.
Positions (direct):
Cs (0.500, 0.000, 0.500)  0.00
Be (0.172, 0.828, 0.829)  -0.01
Be (0.828, 0.172, 0.171)  -0.01
Ga (0.809, 0.500, 0.809)  -0.01
Ga (0.191, 0.500, 0.191)  -0.01
O (0.464, 0.721, 0.907)  0.21
O (0.000, 0.245, 0.000)  0.02
O (0.095, 0.720, 0.536)  0.21
O (0.000, 0.755, 0.000)  0.02
O (0.905, 0.280, 0.464)  0.21
O (0.536, 0.279, 0.093)  0.21

(6)
The following is a DFT calculation (GGA-PBE) of a geometry-optimized ScVSe2 structure.

calculated volume	206.8	Å³ per cell
total energy	-6.380	eV per atom
relative energy among the computed polymorphs	21.6	kJ/mol of atoms
spin magnetization	3.24	μB per formula unit
SG	No. 122

abc: 5.872 5.872 7.296
angles: 66.27 66.27 90.00
Last column: magnetic moment on the atom in μB.
Positions (direct):
Sc (0.500, 0.500, 0.000)  0.23
Sc (0.250, 0.750, 0.500)  0.23
Se (0.640, 0.125, 0.250)  -0.04
Se (0.110, 0.625, 0.250)  -0.04
Se (0.375, 0.360, 0.750)  -0.04
Se (0.875, 0.890, 0.750)  -0.04
V (0.000, 0.000, 0.000)  2.49
V (0.750, 0.250, 0.500)  2.49